Entry 1:
Below is crystalline NbBr2Cl at its relaxed geometry, with properties calculated at the PBE-GGA level.

- magnetic moment (μB per cell) = 0.0
- calculated density (g/cm³) = 4.7
- crystal system = trigonal
- space-group type = No. 166
- VASP energy (eV/atom) = -4.157
- formation energy from raw total energies (eV/atom) = -0.341
- ΔE to the lowest computed polymorph (eV/atom) = 0.523

abc: 3.371 3.371 30.744
angles: 90.00 90.00 120.00
Fractional positions:
Nb1 0.000 0.000 0.000
Nb2 0.333 0.667 0.667
Nb3 0.667 0.333 0.333
Br1 0.000 0.000 0.393
Br2 0.000 0.000 0.607
Br3 0.333 0.667 0.060
Br4 0.333 0.667 0.273
Br5 0.667 0.333 0.727
Br6 0.667 0.333 0.940
Cl1 0.000 0.000 0.500
Cl2 0.333 0.667 0.167
Cl3 0.667 0.333 0.833

Entry 2:
Below is crystalline Na5Sr6Ca at its relaxed geometry, with properties calculated at the PBE-GGA level.

- magnetic moment (μB per cell) = 0.0
- calculated density (g/cm³) = 2.0
- crystal system = monoclinic
- space-group type = No. 10
- VASP energy (eV/atom) = -1.530
- ΔH_f (0 K) (eV/atom) = 0.0273

abc: 6.367 9.095 10.126
angles: 90.00 108.38 90.00
Fractional positions:
Na1 0.000 0.000 0.000
Na2 0.332 0.000 0.666
Na3 0.340 0.500 0.681
Na4 0.660 0.500 0.319
Na5 0.668 0.000 0.334
Sr1 0.169 0.249 0.338
Sr2 0.169 0.751 0.338
Sr3 0.500 0.243 0.000
Sr4 0.500 0.757 0.000
Sr5 0.831 0.249 0.662
Sr6 0.831 0.751 0.662
Ca1 0.000 0.500 0.000

Entry 3:
Below is crystalline BaMg2Cu at its relaxed geometry, with properties calculated at the PBE-GGA level.

- magnetic moment (μB per cell) = 0.0
- calculated density (g/cm³) = 3.0
- crystal system = tetragonal
- space-group type = No. 141
- VASP energy (eV/atom) = -2.084
- ΔH_f (0 K) (eV/atom) = 0.2177

abc: 5.709 5.709 17.046
angles: 90.00 90.00 90.00
Fractional positions:
Ba1 0.000 0.250 0.375
Ba2 0.000 0.750 0.625
Ba3 0.500 0.250 0.125
Ba4 0.500 0.750 0.875
Mg1 0.000 0.000 0.000
Mg2 0.000 0.500 0.000
Mg3 0.250 0.250 0.750
Mg4 0.250 0.750 0.250
Mg5 0.500 0.000 0.500
Mg6 0.500 0.500 0.500
Mg7 0.750 0.250 0.750
Mg8 0.750 0.750 0.250
Cu1 0.000 0.250 0.875
Cu2 0.000 0.750 0.125
Cu3 0.500 0.250 0.625
Cu4 0.500 0.750 0.375

Entry 4:
Below is crystalline UPa2Se6 at its relaxed geometry, with properties calculated at the PBE-GGA level.

- magnetic moment (μB per cell) = 4.0
- calculated density (g/cm³) = 6.9
- crystal system = monoclinic
- space-group type = No. 12
- VASP energy (eV/atom) = -6.850
- formation energy from raw total energies (eV/atom) = -1.163
- ΔE to the lowest computed polymorph (eV/atom) = 0.060

abc: 7.572 7.572 9.261
angles: 124.10 124.10 41.78
Fractional positions:
U1 0.000 0.000 0.000
Pa1 0.183 0.183 0.606
Pa2 0.817 0.817 0.394
Se1 0.043 0.043 0.727
Se2 0.254 0.254 0.366
Se3 0.374 0.374 0.955
Se4 0.626 0.626 0.045
Se5 0.746 0.746 0.634
Se6 0.957 0.957 0.273

Entry 5:
Below is crystalline CsK3Pt at its relaxed geometry, with properties calculated at the PBE-GGA level.

- magnetic moment (μB per cell) = 0.0
- calculated density (g/cm³) = 2.1
- crystal system = cubic
- space-group type = No. 221
- VASP energy (eV/atom) = -1.033
- ΔE to the lowest computed polymorph (eV/atom) = 0.950
- ΔH_f (0 K) (eV/atom) = 1.0047

abc: 7.078 7.078 7.078
angles: 90.00 90.00 90.00
Fractional positions:
Cs1 0.000 0.000 0.000
K1 0.000 0.000 0.500
K2 0.000 0.500 0.000
K3 0.500 0.000 0.000
Pt1 0.500 0.500 0.500

Entry 6:
Below is crystalline MgPa2Rh3 at its relaxed geometry, with properties calculated at the PBE-GGA level.

- magnetic moment (μB per cell) = 0.0
- calculated density (g/cm³) = 10.3
- crystal system = tetragonal
- space-group type = No. 141
- VASP energy (eV/atom) = -7.547
- ΔH_f (0 K) (eV/atom) = -0.4406

abc: 9.287 9.287 9.287
angles: 125.35 125.35 80.96
Fractional positions:
Mg1 0.000 0.000 0.000
Mg2 0.000 0.000 0.500
Mg3 0.000 0.500 0.000
Mg4 0.500 0.000 0.500
Pa1 0.270 0.320 0.550
Pa2 0.270 0.720 0.950
Pa3 0.280 0.730 0.550
Pa4 0.320 0.270 0.050
Pa5 0.680 0.730 0.950
Pa6 0.720 0.270 0.450
Pa7 0.730 0.280 0.050
Pa8 0.730 0.680 0.450
Rh1 0.119 0.369 0.237
Rh2 0.119 0.369 0.750
Rh3 0.119 0.881 0.750
Rh4 0.369 0.119 0.250
Rh5 0.369 0.119 0.737
Rh6 0.369 0.631 0.250
Rh7 0.631 0.369 0.750
Rh8 0.631 0.881 0.263
Rh9 0.631 0.881 0.750
Rh10 0.881 0.119 0.250
Rh11 0.881 0.631 0.250
Rh12 0.881 0.631 0.763

Entry 7:
Below is crystalline LiLaPmIr at its relaxed geometry, with properties calculated at the PBE-GGA level.

- magnetic moment (μB per cell) = 0.0
- calculated density (g/cm³) = 8.5
- crystal system = cubic
- space-group type = No. 216
- VASP energy (eV/atom) = -5.510
- ΔH_f (0 K) (eV/atom) = -0.3968

abc: 7.233 7.233 7.233
angles: 90.00 90.00 90.00
Fractional positions:
Li1 0.000 0.000 0.000
Li2 0.000 0.500 0.500
Li3 0.500 0.000 0.500
Li4 0.500 0.500 0.000
La1 0.250 0.250 0.750
La2 0.250 0.750 0.250
La3 0.750 0.250 0.250
La4 0.750 0.750 0.750
Pm1 0.250 0.250 0.250
Pm2 0.250 0.750 0.750
Pm3 0.750 0.250 0.750
Pm4 0.750 0.750 0.250
Ir1 0.000 0.000 0.500
Ir2 0.000 0.500 0.000
Ir3 0.500 0.000 0.000
Ir4 0.500 0.500 0.500

Entry 8:
Below is crystalline GaP3W at its relaxed geometry, with properties calculated at the PBE-GGA level.

- magnetic moment (μB per cell) = 0.0
- calculated density (g/cm³) = 5.4
- crystal system = cubic
- space-group type = No. 221
- VASP energy (eV/atom) = -5.990
- ΔE to the lowest computed polymorph (eV/atom) = 0.000
- ΔH_f (0 K) (eV/atom) = 0.4516

abc: 4.746 4.746 4.746
angles: 90.00 90.00 90.00
Fractional positions:
Ga1 0.000 0.000 0.000
P1 0.000 0.500 0.500
P2 0.500 0.000 0.500
P3 0.500 0.500 0.000
W1 0.500 0.500 0.500

Entry 9:
Below is crystalline Ba2SiRu at its relaxed geometry, with properties calculated at the PBE-GGA level.

- magnetic moment (μB per cell) = 0.8
- calculated density (g/cm³) = 5.9
- crystal system = tetragonal
- space-group type = No. 123
- VASP energy (eV/atom) = -4.136
- formation energy from raw total energies (eV/atom) = 0.500

abc: 5.013 5.013 4.507
angles: 90.00 90.00 90.00
Fractional positions:
Ba1 0.000 0.500 0.000
Ba2 0.500 0.000 0.000
Si1 0.000 0.000 0.500
Ru1 0.500 0.500 0.500

Entry 10:
Below is crystalline FeCuAu2 at its relaxed geometry, with properties calculated at the PBE-GGA level.

- magnetic moment (μB per cell) = 2.8
- calculated density (g/cm³) = 14.0
- crystal system = tetragonal
- space-group type = No. 99
- VASP energy (eV/atom) = -4.679
- ΔH_f (0 K) (eV/atom) = 0.0991

abc: 2.819 2.819 7.662
angles: 90.00 90.00 90.00
Fractional positions:
Fe1 0.000 0.000 0.000
Cu1 0.500 0.500 0.790
Au1 0.000 0.000 0.546
Au2 0.500 0.500 0.247

Entry 11:
Below is crystalline RbTc3Au at its relaxed geometry, with properties calculated at the PBE-GGA level.

- magnetic moment (μB per cell) = 3.5
- calculated density (g/cm³) = 9.5
- crystal system = cubic
- space-group type = No. 221
- VASP energy (eV/atom) = -3.877
- ΔE to the lowest computed polymorph (eV/atom) = 1.074
- ΔH_f (0 K) (eV/atom) = 3.1915

abc: 4.659 4.659 4.659
angles: 90.00 90.00 90.00
Fractional positions:
Rb1 0.000 0.000 0.000
Tc1 0.000 0.000 0.500
Tc2 0.000 0.500 0.000
Tc3 0.500 0.000 0.000
Au1 0.500 0.500 0.500

Entry 12:
Below is crystalline Nd2Cu9Pd at its relaxed geometry, with properties calculated at the PBE-GGA level.

- magnetic moment (μB per cell) = 0.0
- calculated density (g/cm³) = 8.5
- crystal system = trigonal
- space-group type = No. 166
- VASP energy (eV/atom) = -4.360
- ΔH_f (0 K) (eV/atom) = -0.0609

abc: 8.682 8.682 8.682
angles: 34.60 34.60 34.60
Fractional positions:
Nd1 0.131 0.131 0.131
Nd2 0.869 0.869 0.869
Cu1 0.077 0.580 0.580
Cu2 0.333 0.333 0.333
Cu3 0.420 0.420 0.923
Cu4 0.420 0.923 0.420
Cu5 0.500 0.500 0.500
Cu6 0.580 0.077 0.580
Cu7 0.580 0.580 0.077
Cu8 0.667 0.667 0.667
Cu9 0.923 0.420 0.420
Pd1 0.000 0.000 0.000